# MoP4Br

A relaxed structure of MoP4Br (PBE, Alexandria).

Summary:
The value obtained for the volume is 23.46 A^3/atom. The value obtained for the uncorrected formation energy is 4.86 eV/f.u.

Unit cell a=8.2570 b=8.2570 c=8.2570 alpha=90.00 beta=90.00 gamma=90.00
With the nearest neighbours (Å) after each atom.
Space group F-43m (No. 216)
Unique sites:
Mo 0.0000 0.0000 0.0000 [4 per cell]  12 P 3.38, 4 Br 3.58
P 0.1547 0.1547 0.3453 [16 per cell]  3 P 2.23
Br 0.2500 0.2500 0.7500 [4 per cell]  12 P 3.52, 4 Mo 3.58